Material: PaMnCrN3
Method: DFT, PBE-GGA
State: relaxed

a = 5.524 Å, b = 3.179 Å, c = 7.603 Å
α = 90.00°, β = 109.17°, γ = 90.00°
Atoms (fractional coordinates):
Pa 0.007 0.250 0.244
Pa 0.993 0.750 0.756
Mn 0.412 0.750 0.599
Mn 0.588 0.250 0.401
Cr 0.469 0.750 0.120
Cr 0.531 0.250 0.880
N 0.220 0.250 0.636
N 0.251 0.250 0.996
N 0.336 0.750 0.334
N 0.664 0.250 0.666
N 0.749 0.750 0.004
N 0.780 0.750 0.364

Results
Space-group type: No. 11
ΔE_f (raw) in eV per atom: -0.91
Spin magnetization in μB/cell: 2.101
E_tot in Ha/atom: -0.3599